No. 1
## TiHAu (PBE)

Data for an optimized crystal structure of TiHAu.

**Symmetry**: No. 129
**E_tot**: -31.6 eV for the cell shown
**ΔE to the lowest computed polymorph**: 0 meV per atom
**V**: 12.20 Å³/atom

```
TiHAu
1.0
3.016 0.000 0.000
0.000 3.016 0.000
0.000 0.000 8.048
Ti H Au
2 2 2
Direct
0.250 0.250 0.148
0.750 0.750 0.852
0.250 0.750 0.000
0.750 0.250 0.000
0.250 0.250 0.630
0.750 0.750 0.370
```

***

No. 2
## Ti2H2Au (PBE)

Data for an optimized crystal structure of Ti2H2Au.

**Symmetry**: No. 139
**E_tot**: -27.9 eV for the cell shown
**ΔE to the lowest computed polymorph**: 0 meV per atom
**V**: 11.02 Å³/atom

```
Ti2H2Au
1.0
-1.710 1.710 4.710
1.710 -1.710 4.710
1.710 1.710 -4.710
Ti H Au
2 2 1
Direct
0.160 0.160 0.000
0.840 0.840 0.000
0.250 0.750 0.500
0.750 0.250 0.500
0.500 0.500 0.000
```

***

No. 3
## Ti2VHAu (PBE)

Data for an optimized crystal structure of Ti2VHAu.

**Symmetry**: No. 123
**E_tot**: -32.9 eV for the cell shown
**V**: 13.09 Å³/atom

```
Ti2VHAu
1.0
4.160 0.000 0.000
0.000 4.160 0.000
0.000 0.000 3.782
Ti V H Au
2 1 1 1
Direct
0.000 0.500 0.000
0.500 0.000 0.000
0.000 0.000 0.500
0.000 0.000 0.000
0.500 0.500 0.500
```

***

No. 4
## TiV2HAu (PBE)

Data for an optimized crystal structure of TiV2HAu.

**Symmetry**: No. 123
**E_tot**: -33.5 eV for the cell shown
**V**: 12.19 Å³/atom

```
TiV2HAu
1.0
3.829 0.000 0.000
0.000 3.829 0.000
0.000 0.000 4.157
Ti V H Au
1 2 1 1
Direct
0.000 0.000 0.000
0.000 0.500 0.500
0.500 0.000 0.500
0.000 0.000 0.500
0.500 0.500 0.000
```

***

> The lowest E_tot belongs to which entry?

TiV2HAu